Here is a geometry-optimized V2Ni3B2 structure from Alexandria via LeMat-Bulk. Energies are from PBE.

The formation energy comes out at -3.13 eV per formula unit.

It has space group Cmmm (No. 65), with a = 2.942 Å, b = 15.343 Å, c = 3.070 Å, α = 90.00°, β = 90.00° and γ = 90.00°. The inequivalent atoms are V at (0.000, 0.173, 0.000), Ni at (0.000, 0.000, 0.000), Ni at (0.000, 0.419, 0.500) and B at (0.000, 0.280, 0.500).

=====

Here is a geometry-optimized Ba4TaW structure from Alexandria via LeMat-Bulk. Energies are from PBE.

The formation energy comes out at 11.80 eV per formula unit.

It has space group F-43m (No. 216), with a = 9.830 Å, b = 9.830 Å, c = 9.830 Å, α = 90.00°, β = 90.00° and γ = 90.00°. The inequivalent atoms are Ba at (0.125, 0.125, 0.125), Ta at (0.250, 0.250, 0.750) and W at (0.000, 0.000, 0.500).

=====

Here is a geometry-optimized Sb3PF structure from Alexandria via LeMat-Bulk. Energies are from PBE.

Its uncorrected formation energy is 0.310 eV/atom. The value obtained for the energy above the most stable polymorph in this dataset is 0 meV per atom.

It has space group Pm-3m (No. 221), with a = 4.901 Å, b = 4.901 Å, c = 4.901 Å, α = 90.00°, β = 90.00° and γ = 90.00°. The inequivalent atoms are Sb at (0.000, 0.000, 0.500), P at (0.500, 0.500, 0.500) and F at (0.000, 0.000, 0.000).

=====

Here is a geometry-optimized Mn3Pt7 structure from Alexandria via LeMat-Bulk. Energies are from PBE.

The formation energy comes out at -3.49 eV per formula unit.

It has space group C2/m (No. 12), with a = 14.269 Å, b = 3.925 Å, c = 5.547 Å, α = 90.00°, β = 102.35° and γ = 90.00°. The inequivalent atoms are Mn at (0.000, 0.000, 0.000), Mn at (0.197, 0.000, 0.611), Pt at (0.000, 0.000, 0.500), Pt at (0.098, 0.500, 0.807), Pt at (0.105, 0.500, 0.312) and Pt at (0.203, 0.000, 0.113).

=====

One value per record, in order, for calculated total energy: -104.132, -82.791, -18.098, -146.568 eV/cell.
One value per record, in order, for DOS(E_F): 0.89, 2.13, 0.91, 1.02 states/eV per atom.